## TiNbAlCu (PBE-GGA)

Data for a geometry-optimized TiNbAlCu structure.

Cell: 6.3285 6.3285 6.3285 Å, 90.00 90.00 90.00°
With the nearest neighbours (Å) after each atom.
Space group F-43m (No. 216)
One atom of each set of equivalent atoms:
Ti 0.0000 0.0000 0.0000  4 Al 2.74, 4 Cu 2.74
Nb 0.0000 0.0000 0.5000  4 Al 2.74, 4 Cu 2.74
Al 0.2500 0.2500 0.2500  4 Nb 2.74, 4 Ti 2.74
Cu 0.2500 0.2500 0.7500  4 Nb 2.74, 4 Ti 2.74

## Properties
D(E_F) in states/eV/f.u.: 4.21
Spin magnetization in Bohr magnetons per cell: 0.00
Energy of formation in eV per atom: -0.08
Volume in Å³ per cell: 253.5